No. 1
# MnCoHW2 (PBE-GGA, relaxed)
# * total energy: -8.96 eV per atom
# * SG: P4/mmm, No. 123
data_MnCoHW2
_chemical_formula_sum 'Mn1 Co1 H1 W2'
_cell_length_a 3.9146
_cell_length_b 3.9146
_cell_length_c 3.6648
_cell_angle_alpha 90.00
_cell_angle_beta 90.00
_cell_angle_gamma 90.00
_symmetry_space_group_name_H-M 'P 1'
_symmetry_Int_Tables_number 1
_symmetry_space_group_name_Hall 'P 1'
loop_
_atom_site_label
_atom_site_fract_x
_atom_site_fract_y
_atom_site_fract_z
_atom_site_occupancy
Mn1 0.0000 0.0000 0.0000 1
Co1 0.5000 0.5000 0.0000 1
H1 0.0000 0.0000 0.5000 1
W1 0.0000 0.5000 0.5000 1
W2 0.5000 0.0000 0.5000 1

No. 2
# MnCoHW2 (PBE-GGA, relaxed)
# * total energy: -8.96 eV per atom
# * SG: P4/mmm, No. 123
data_MnCoHW2
_chemical_formula_sum 'Mn1 Co1 H1 W2'
_cell_length_a 3.9427
_cell_length_b 3.9427
_cell_length_c 3.6023
_cell_angle_alpha 90.00
_cell_angle_beta 90.00
_cell_angle_gamma 90.00
_symmetry_space_group_name_H-M 'P 1'
_symmetry_Int_Tables_number 1
_symmetry_space_group_name_Hall 'P 1'
loop_
_atom_site_label
_atom_site_fract_x
_atom_site_fract_y
_atom_site_fract_z
_atom_site_occupancy
Mn1 0.0000 0.0000 0.0000 1
Co1 0.5000 0.5000 0.0000 1
H1 0.5000 0.5000 0.5000 1
W1 0.0000 0.5000 0.5000 1
W2 0.5000 0.0000 0.5000 1

No. 3
# ZrMn2CoH (PBE-GGA, relaxed)
# * total energy: -6.38 eV per atom
# * SG: P4/mmm, No. 123
data_ZrMn2CoH
_chemical_formula_sum 'Zr1 Mn2 Co1 H1'
_cell_length_a 4.8148
_cell_length_b 4.8148
_cell_length_c 3.4103
_cell_angle_alpha 90.00
_cell_angle_beta 90.00
_cell_angle_gamma 90.00
_symmetry_space_group_name_H-M 'P 1'
_symmetry_Int_Tables_number 1
_symmetry_space_group_name_Hall 'P 1'
loop_
_atom_site_label
_atom_site_fract_x
_atom_site_fract_y
_atom_site_fract_z
_atom_site_occupancy
Zr1 0.0000 0.0000 0.0000 1
Mn1 0.0000 0.5000 0.0000 1
Mn2 0.5000 0.0000 0.0000 1
Co1 0.5000 0.5000 0.5000 1
H1 0.0000 0.0000 0.5000 1

Please write out number 2 again, unchanged.
# MnCoHW2 (PBE-GGA, relaxed)
# * total energy: -8.96 eV per atom
# * SG: P4/mmm, No. 123
data_MnCoHW2
_chemical_formula_sum 'Mn1 Co1 H1 W2'
_cell_length_a 3.9427
_cell_length_b 3.9427
_cell_length_c 3.6023
_cell_angle_alpha 90.00
_cell_angle_beta 90.00
_cell_angle_gamma 90.00
_symmetry_space_group_name_H-M 'P 1'
_symmetry_Int_Tables_number 1
_symmetry_space_group_name_Hall 'P 1'
loop_
_atom_site_label
_atom_site_fract_x
_atom_site_fract_y
_atom_site_fract_z
_atom_site_occupancy
Mn1 0.0000 0.0000 0.0000 1
Co1 0.5000 0.5000 0.0000 1
H1 0.5000 0.5000 0.5000 1
W1 0.0000 0.5000 0.5000 1
W2 0.5000 0.0000 0.5000 1

> total energy of number 1 (MnCoHW2)?

-8.96 eV per atom